Compound: CeInAu5
Source: Alexandria via LeMat-Bulk
Functional: PBE-GGA
Structure: optimized geometry

CIF file:
```
data_CeInAu5
_space_group_name_H-M_alt 'P n m a'
_space_group_IT_number 62
_space_group_name_Hall '-P 2ac 2n'
_cell_length_a 9.078
_cell_length_b 5.760
_cell_length_c 11.363
_cell_angle_alpha 90.00
_cell_angle_beta 90.00
_cell_angle_gamma 90.00
loop_
_atom_site_label
_atom_site_fract_x
_atom_site_fract_y
_atom_site_fract_z
Ce1 0.246 0.250 0.054
In1 0.151 0.750 0.848
Au1 0.064 0.010 0.302
Au2 0.077 0.750 0.078
Au3 0.095 0.250 0.520
Au4 0.179 0.250 0.776
```

Results
energy of formation from the pure elements: -2.78 eV per formula unit
final energy: -3.9769 eV per atom
total magnetic moment: 3.870 Bohr magnetons per cell
V: 21.218 A^3/atom
energy above the lowest structure with this stoichiometry: 0.000 eV/atom

Compound: Ce2InAu6
Source: Alexandria via LeMat-Bulk
Functional: PBE-GGA
Structure: optimized geometry

CIF file:
```
data_Ce2InAu6
_space_group_name_H-M_alt 'P -3 m 1'
_space_group_IT_number 164
_space_group_name_Hall '-P 3 2"'
_cell_length_a 6.5238
_cell_length_b 6.5238
_cell_length_c 5.5285
_cell_angle_alpha 90.00
_cell_angle_beta 90.00
_cell_angle_gamma 120.00
loop_
_atom_site_label
_atom_site_fract_x
_atom_site_fract_y
_atom_site_fract_z
Ce1 0.3333 0.6667 0.3295
In1 0.0000 0.0000 0.5000
Au1 0.1873 0.3746 0.8220
```

Results
energy of formation from the pure elements: -4.65 eV per formula unit
final energy: -4.3249 eV per atom
total magnetic moment: 1.814 Bohr magnetons per cell
V: 22.641 A^3/atom